Here is a relaxed LiCa2Co crystal from Alexandria via LeMat-Bulk. Energies are from PBE.

## Properties
raw total energy = -11.961 eV per cell
symmetry = R3m, No. 160
ΔH_f (0 K) = 0.27 eV/atom

Geometry as extended XYZ:
```
4
Lattice="2.0956 1.2099 6.9041 -2.0956 1.2099 6.9041 0.0000 -2.4198 6.9041" Properties=species:S:1:pos:R:3 pbc="T T T"
Li 0.0000 0.0000 0.0000
Ca 0.0000 0.0000 5.0626
Ca 0.0000 0.0000 8.7424
Co 0.0000 0.0000 13.7953
```